Record 1
A plane-wave DFT calculation with PBE was carried out for an optimized crystal structure of ThCo2B.

N(E_F) ... 2.64 states/eV/f.u.
Energy of formation from the pure elements ... -26 kJ per mole of atoms

Lattice parameters (Å, degrees): 5.317 5.317 5.317 40.30 40.30 40.30
Element x y z (fractional)
Th (0.000, 0.000, 0.000)
Co (0.205, 0.205, 0.205)
Co (0.795, 0.795, 0.795)
B (0.500, 0.500, 0.500)

=====

Record 2
A plane-wave DFT calculation with PBE was carried out for an optimized crystal structure of Fe2TcNi.

N(E_F) ... 5.18 states/eV/f.u.
Energy of formation from the pure elements ... 11 kJ per mole of atoms

Lattice parameters (Å, degrees): 4.479 4.479 2.570 90.00 90.00 110.07
Element x y z (fractional)
Fe (0.000, 0.500, 0.000)
Fe (0.500, 0.000, 0.000)
Tc (0.000, 0.000, 0.500)
Ni (0.500, 0.500, 0.500)